No. 1
A geometry-optimized LiGeRh structure, computed with PBE.

As for the total energy: -5.114 eV/atom.

The structure in POSCAR format:
```
LiGeRh
1.0
-1.569 1.569 4.109
1.569 -1.569 4.109
1.569 1.569 -4.109
Li Ge Rh
1 1 1
Direct
0.000 0.000 0.000 Li
0.331 0.331 0.000 Ge
0.669 0.669 0.000 Rh
```



No. 2
A geometry-optimized LiGe2Rh4 structure, computed with PBE.

The calculation puts the offset from the most stable computed form at 0.0000 eV per atom.

The structure in POSCAR format:
```
LiGe2Rh4
1.0
2.068 1.194 6.721
-2.068 1.194 6.721
0.000 -2.387 6.721
Li Ge Rh
1 2 4
Direct
0.000 0.000 0.000 Li
0.250 0.250 0.250 Ge
0.750 0.750 0.750 Ge
0.127 0.127 0.127 Rh
0.377 0.377 0.377 Rh
0.623 0.623 0.623 Rh
0.873 0.873 0.873 Rh
```



No. 3
A geometry-optimized Li2Ge5Rh3 structure, computed with PBE.

As for the total energy: -5.330 eV/atom.

The structure in POSCAR format:
```
Li2Ge5Rh3
1.0
4.429 -6.360 0.000
4.429 6.360 0.000
-1.043 0.000 5.495
Li Ge Rh
4 10 6
Direct
0.115 0.661 0.918 Li
0.339 0.885 0.582 Li
0.661 0.115 0.418 Li
0.885 0.339 0.082 Li
0.040 0.960 0.750 Ge
0.168 0.540 0.416 Ge
0.246 0.363 0.046 Ge
0.363 0.246 0.546 Ge
0.460 0.832 0.084 Ge
0.540 0.168 0.916 Ge
0.637 0.754 0.454 Ge
0.754 0.637 0.954 Ge
0.832 0.460 0.584 Ge
0.960 0.040 0.250 Ge
0.039 0.273 0.647 Rh
0.273 0.039 0.147 Rh
0.425 0.575 0.750 Rh
0.575 0.425 0.250 Rh
0.727 0.961 0.853 Rh
0.961 0.727 0.353 Rh
```



No. 4
A geometry-optimized LiGe2Rh structure, computed with PBE.

The calculation puts the offset from the most stable computed form at 0.1370 eV per atom.

The structure in POSCAR format:
```
LiGe2Rh
1.0
3.959 0.000 0.000
0.000 3.959 0.000
0.000 0.000 3.727
Li Ge Rh
1 2 1
Direct
0.000 0.000 0.000 Li
0.000 0.500 0.500 Ge
0.500 0.000 0.500 Ge
0.500 0.500 0.000 Rh
```



No. 5
A geometry-optimized Li5Ge2Rh structure, computed with PBE.

As for the total energy: -3.612 eV/atom.

The structure in POSCAR format:
```
Li5Ge2Rh
1.0
5.899 0.000 0.000
0.000 11.646 0.000
0.000 0.000 3.432
Li Ge Rh
10 4 2
Direct
0.000 0.000 0.000 Li
0.021 0.252 0.000 Li
0.250 0.380 0.500 Li
0.250 0.880 0.500 Li
0.479 0.752 0.000 Li
0.500 0.500 0.000 Li
0.521 0.248 0.000 Li
0.750 0.120 0.500 Li
0.750 0.620 0.500 Li
0.979 0.748 0.000 Li
0.229 0.616 0.500 Ge
0.271 0.116 0.500 Ge
0.729 0.884 0.500 Ge
0.771 0.384 0.500 Ge
0.000 0.500 0.000 Rh
0.500 0.000 0.000 Rh
```



No. 6
A geometry-optimized LiGe2Rh structure, computed with PBE.

The calculation puts the offset from the most stable computed form at 0.4018 eV per atom.

The structure in POSCAR format:
```
LiGe2Rh
1.0
-1.399 2.149 6.116
1.399 -2.149 6.116
1.399 2.149 -6.116
Li Ge Rh
1 2 1
Direct
0.000 0.000 0.000 Li
0.306 0.306 0.000 Ge
0.694 0.694 0.000 Ge
0.500 0.500 0.000 Rh
```



No. 7
A geometry-optimized Li3Ge3Rh structure, computed with PBE.

As for the total energy: -4.166 eV/atom.

The structure in POSCAR format:
```
Li3Ge3Rh
1.0
3.680 -5.629 0.000
3.680 5.629 0.000
-2.635 0.000 6.170
Li Ge Rh
6 6 2
Direct
0.113 0.887 0.000 Li
0.223 0.777 0.500 Li
0.445 0.445 0.190 Li
0.555 0.555 0.810 Li
0.777 0.223 0.500 Li
0.887 0.113 0.000 Li
0.129 0.496 0.887 Ge
0.202 0.202 0.390 Ge
0.496 0.129 0.887 Ge
0.504 0.871 0.113 Ge
0.798 0.798 0.610 Ge
0.871 0.504 0.113 Ge
0.153 0.153 0.722 Rh
0.847 0.847 0.278 Rh
```



No. 8
A geometry-optimized LiGeRh3 structure, computed with PBE.

The calculation puts the offset from the most stable computed form at 0.0479 eV per atom.

The structure in POSCAR format:
```
LiGeRh3
1.0
4.130 0.000 0.000
0.000 4.130 0.000
0.000 0.000 4.130
Li Ge Rh
1 1 3
Direct
0.000 0.000 0.000 Li
0.500 0.500 0.500 Ge
0.000 0.000 0.500 Rh
0.000 0.500 0.000 Rh
0.500 0.000 0.000 Rh
```